Density functional theory data (PBE) for Ba2GaTcO6 after structural relaxation.

energy = -135.767 eV per cell
crystal system = triclinic
total magnetic moment = 4.00 μB per cell

abc: 5.673 5.674 8.033
angles: 90.01 90.00 90.03
Site moments in Bohr magnetons follow the coordinates.
Atoms (fractional coordinates):
1 Tc 0.450 0.550 0.500  1.47
2 Tc 0.950 0.050 0.000  1.46
3 Ba 0.450 0.050 0.250  0.01
4 Ba 0.950 0.550 0.250  0.01
5 Ba 0.950 0.550 0.750  0.01
6 Ba 0.450 0.050 0.750  0.01
7 O 0.949 0.050 0.248  0.05
8 O 0.198 0.305 0.499  0.05
9 O 0.704 0.301 0.000  0.05
10 O 0.451 0.550 0.252  0.05
11 O 0.951 0.050 0.752  0.05
12 O 0.449 0.549 0.748  0.05
13 O 0.201 0.297 0.001  0.05
14 O 0.196 0.800 0.000  0.05
15 O 0.702 0.794 0.501  0.05
16 O 0.205 0.802 0.500  0.05
17 O 0.694 0.298 0.500  0.05
18 O 0.699 0.804 0.999  0.05
19 Ga 0.450 0.550 0.000  0.00
20 Ga 0.950 0.050 0.500  0.00